MoSO3 | GGA+U | relaxed

Geometry as POSCAR:
```
MoSO3
1.0
1.743 -2.485 4.006
3.410 -3.522 -1.106
6.196 3.579 1.295
O Mo S
6 2 2
Cartesian
4.549 -0.353 1.555 O
9.187 -3.360 3.678 O
4.584 -2.848 2.073 O
6.801 -2.075 2.639 O
2.164 0.932 0.516 O
6.766 0.420 2.121 O
6.061 -1.454 0.913 Mo
5.289 -0.974 3.281 Mo
8.059 1.262 2.372 S
3.291 -3.690 1.822 S
```

Summary:
Magnetic moment, μB/cell: 1.1
Total energy, eV per atom: -6.067
Volume, A^3/atom: 16.33